Record 1
VASP calculation (PBE-GGA) on Re2PBr after structural relaxation.

Geometry as POSCAR:
```
Re2PBr
1.0
0.000 3.076 3.076
3.076 0.000 3.076
3.076 3.076 0.000
Re Br P
2 1 1
Cartesian
1.538 1.538 1.538
4.614 4.614 4.614
3.076 3.076 3.076
0.000 0.000 0.000
```

Output
- Uncorrected energy: -7.08 eV/atom


Record 2
VASP calculation (PBE-GGA) on Ho4TmTl after structural relaxation.

Geometry as POSCAR:
```
Ho4TmTl
1.0
-5.026 -0.802 -3.884
0.770 -6.262 6.330
-1.809 7.392 3.074
Ho Tm Tl
8 2 2
Cartesian
-1.443 4.487 3.156
-4.354 -0.498 3.493
-1.935 1.690 5.217
-2.259 -1.389 6.212
-3.806 1.718 -0.692
-4.129 -1.362 0.304
-1.711 0.826 2.028
-4.622 -4.159 2.365
-1.579 -2.637 2.967
-4.485 2.966 2.554
-2.294 0.929 8.433
-3.770 -0.601 -2.912
```

Output
- Energy of formation: -0.011 eV/atom
- Uncorrected energy: -4.20 eV/atom


Record 3
VASP calculation (PBE-GGA) on NaPmDy4S8 after structural relaxation.

Geometry as POSCAR:
```
NaPmDy4S8
1.0
-3.831 2.692 6.617
-6.920 -3.489 2.378
-0.109 -4.587 6.768
Na Pm Dy S
1 1 4 8
Cartesian
-4.112 -4.332 9.312
-0.152 -4.534 6.721
-6.740 -1.064 6.461
-3.441 -4.000 4.600
-1.951 -1.018 6.645
-0.103 -2.317 3.453
-6.423 -5.433 8.421
-4.758 -2.100 10.707
-2.692 -3.552 7.139
-2.593 -1.498 4.073
-4.499 0.024 7.316
-6.122 -3.225 5.087
-8.136 -1.810 8.566
-8.229 -3.935 11.732
```

Output
- Uncorrected energy: -6.06 eV/atom


Record 4
VASP calculation (PBE-GGA) on NiIr2Os after structural relaxation.

Geometry as POSCAR:
```
NiIr2Os
1.0
-1.783 2.432 3.589
0.527 -2.353 4.020
2.991 1.135 -3.426
Ir Ni Os
2 1 1
Cartesian
0.000 0.000 0.000
1.445 -0.589 2.199
-0.628 0.039 3.804
0.290 1.803 1.983
```

Output
- Energy of formation: 0.089 eV/atom
- Uncorrected energy: -8.59 eV/atom


- Among the records above, which one has the lowest uncorrected energy?
  NiIr2Os